# 1
# ZrPaTeIr (PBE, relaxed)
# Total magnetic moment: 0.0 μB/cell
# E_form (uncorrected): -0.738 eV per atom
data_ZrPaTeIr
_cell_length_a 4.0576
_cell_length_b 4.0576
_cell_length_c 21.1610
_cell_angle_alpha 90.00
_cell_angle_beta 90.00
_cell_angle_gamma 120.00
_space_group_name_H-M_alt 'R 3 m'
_space_group_IT_number 160
_space_group_name_Hall 'R 3 -2"'
loop_
_atom_site_label
_atom_site_type_symbol
_atom_site_fract_x
_atom_site_fract_y
_atom_site_fract_z
_atom_site_occupancy
Zr1 Zr 0.0000 0.0000 0.0000 1
Pa1 Pa 0.0000 0.0000 0.1987 1
Te1 Te 0.0000 0.0000 0.7609 1
Ir1 Ir 0.0000 0.0000 0.6007 1



# 2
# CdHgTeRh2 (PBE, relaxed)
# Total magnetic moment: 1.4 μB/cell
# E_form (uncorrected): 1.097 eV per atom
data_CdHgTeRh2
_cell_length_a 5.018
_cell_length_b 5.018
_cell_length_c 5.046
_cell_angle_alpha 90.00
_cell_angle_beta 90.00
_cell_angle_gamma 90.00
_space_group_name_H-M_alt 'P 4/m m m'
_space_group_IT_number 123
_space_group_name_Hall '-P 4 2'
loop_
_atom_site_label
_atom_site_type_symbol
_atom_site_fract_x
_atom_site_fract_y
_atom_site_fract_z
_atom_site_occupancy
Cd1 Cd 0.000 0.000 0.000 1
Hg1 Hg 0.000 0.000 0.500 1
Te1 Te 0.500 0.500 0.500 1
Rh1 Rh 0.000 0.500 0.000 1



# 3
# AgSbIrO2 (PBE, relaxed)
# Total magnetic moment: 0.0 μB/cell
# E_form (uncorrected): 0.675 eV per atom
data_AgSbIrO2
_cell_length_a 3.936
_cell_length_b 3.936
_cell_length_c 5.331
_cell_angle_alpha 90.00
_cell_angle_beta 90.00
_cell_angle_gamma 90.00
_space_group_name_H-M_alt 'P 4/m m m'
_space_group_IT_number 123
_space_group_name_Hall '-P 4 2'
loop_
_atom_site_label
_atom_site_type_symbol
_atom_site_fract_x
_atom_site_fract_y
_atom_site_fract_z
_atom_site_occupancy
Ag1 Ag 0.000 0.000 0.000 1
Sb1 Sb 0.500 0.500 0.500 1
Ir1 Ir 0.000 0.000 0.500 1
O1 O 0.000 0.500 0.000 1



Which value of total magnetic moment does entry 2 give?
1.4 μB/cell



Which value of total magnetic moment does entry 2 give?
1.4 μB/cell